Entry 1:
Zn2BiH | the Alexandria database | PBE-GGA | relaxed; energy = -7.475 eV per cell; energy relative to the lowest polymorph listed for this composition = 1.40 eV/f.u.
1.0
0.000 3.330 3.330
3.330 0.000 3.330
3.330 3.330 0.000
H Zn Bi
1 2 1
direct
0.000 0.000 0.000
0.250 0.250 0.250
0.750 0.750 0.750
0.500 0.500 0.500

---

Entry 2:
Pm5Er3In | the Alexandria database | PBE-GGA | relaxed; energy = -73.507 eV per cell
1.0
-4.429 -1.955 -6.271
-5.794 -5.339 0.826
-8.185 7.644 2.071
Pm Er In
10 6 2
direct
0.912 0.341 0.247
0.331 0.669 0.000
0.762 0.762 0.037
0.491 0.491 0.372
0.509 0.509 0.628
0.238 0.238 0.963
0.341 0.912 0.247
0.669 0.331 0.000
0.088 0.659 0.753
0.659 0.088 0.753
0.669 0.669 0.784
0.743 0.743 0.477
0.000 0.000 0.000
0.000 0.000 0.500
0.331 0.331 0.216
0.257 0.257 0.523
0.096 0.096 0.742
0.904 0.904 0.258

---

Entry 3:
Pr2DyAu4 | the Alexandria database | PBE-GGA | relaxed; energy = -31.902 eV per cell; energy relative to the lowest polymorph listed for this composition = 0.00 eV/f.u.
1.0
-3.325 4.136 0.132
0.399 0.489 -5.271
-3.647 -6.396 1.803
Pr Dy Au
2 1 4
direct
0.719 0.719 0.439
0.281 0.281 0.561
0.000 0.000 0.000
0.387 0.887 0.775
0.887 0.387 0.775
0.613 0.113 0.225
0.113 0.613 0.225